Record 1
The following is a PBE calculation of a relaxed structure of Ba2TlO, from Alexandria.

Cell lengths 8.8630, 4.7900, 12.8832 Å; angles 90.00, 90.00, 90.00 degrees
Space group Pnma (No. 62)
Inequivalent atoms, fractional coordinates:
Ba 0.1334 0.2500 0.0601
Ba 0.1553 0.2500 0.7497
Tl 0.0628 0.2500 0.4282
O 0.0281 0.7500 0.1082

- raw total energy (eV/atom) = -4.1604
- density of states at the Fermi level (states/eV/f.u.) = 2.01
- M_tot (μB/f.u.) = 0.00
- raw formation energy (eV/atom) = -1.37

=====

Record 2
The following is a PBE calculation of a relaxed structure of Ba4U3TlO12, from Alexandria.

Cell lengths 9.0226, 9.0226, 9.0226 Å; angles 90.00, 90.00, 90.00 degrees
Space group Im-3m (No. 229)
Inequivalent atoms, fractional coordinates:
Ba 0.2500 0.2500 0.2500
U 0.0000 0.0000 0.5000
Tl 0.0000 0.0000 0.0000
O 0.0000 0.0000 0.2793
O 0.0000 0.2500 0.5000

- raw total energy (eV/atom) = -8.0518
- M_tot (μB/f.u.) = 3.00
- raw formation energy (eV/atom) = -2.88

=====

Record 3
The following is a PBE calculation of a relaxed structure of BaUTl2O8, from Alexandria.

Cell lengths 4.7429, 5.5187, 7.8841 Å; angles 87.01, 74.15, 86.91 degrees
Space group P-1 (No. 2)
Inequivalent atoms, fractional coordinates:
Ba 0.0000 0.0000 0.0000
U 0.0000 0.0000 0.5000
Tl 0.4583 0.4771 0.7100
O 0.1560 0.4788 0.9954
O 0.1647 0.8165 0.6749
O 0.2507 0.3107 0.5099
O 0.3075 0.8649 0.2571

- raw total energy (eV/atom) = -6.4788
- M_tot (μB/f.u.) = 0.00
- raw formation energy (eV/atom) = -1.68

=====

Record 4
The following is a PBE calculation of a relaxed structure of BaU2TlO7, from Alexandria.

Cell lengths 4.3437, 4.3437, 23.3056 Å; angles 90.00, 90.00, 90.00 degrees
Space group I-4m2 (No. 119)
Inequivalent atoms, fractional coordinates:
Ba 0.0000 0.0000 0.0000
U 0.0000 0.0000 0.4052
Tl 0.0000 0.5000 0.2500
O 0.0000 0.0000 0.3227
O 0.0000 0.0000 0.5000
O 0.0000 0.5000 0.0831
O 0.0000 0.5000 0.5822

- raw total energy (eV/atom) = -8.4313
- density of states at the Fermi level (states/eV/f.u.) = 6.65
- M_tot (μB/f.u.) = 1.00
- raw formation energy (eV/atom) = -2.83